RbTmMoO5: optimized geometry, PBE with a Hubbard U.

Computed properties:
Volume = 293.60 Å³ per cell
Energy = -111.379 eV/cell
Space group = C2/c (15)
Total moment = 0.0 μB per cell

a b c (Å): 6.443 6.443 8.103
angles (deg): 104.70 104.70 105.80
Fractional coordinates of all 16 atoms:
1 Tm 0.000 0.000 0.000
2 O 0.129 0.706 0.883
3 O 0.940 0.060 0.750
4 O 0.605 0.771 0.897
5 O 0.871 0.294 0.117
6 Rb 0.321 0.679 0.250
7 O 0.771 0.605 0.397
8 Mo 0.313 0.687 0.750
9 O 0.229 0.395 0.603
10 O 0.395 0.229 0.103
11 Tm 0.000 0.000 0.500
12 O 0.060 0.940 0.250
13 O 0.706 0.129 0.383
14 Rb 0.679 0.321 0.750
15 O 0.294 0.871 0.617
16 Mo 0.687 0.313 0.250